# 1
The following is a DFT calculation (PBE) of an optimized crystal structure of KYbP4H12O18.

Calculated values
V: 11.18 Å³ per atom
E: -5.96 eV per atom
spin magnetization: 1.26 μB per formula unit
density of states at the Fermi level: 0.647 states/eV/atom

Cell lengths 8.802, 12.071, 15.153 Å; angles 90.00, 90.21, 90.00 degrees
Space group C2/c (No. 15)
Inequivalent atoms, fractional coordinates:
K (0.000, 0.032, 0.250) [4 per cell]
Yb (0.000, 0.383, 0.250) [4 per cell]
P (0.111, 0.410, 0.913) [8 per cell]
P (0.212, 0.469, 0.575) [8 per cell]
H (0.029, 0.186, 0.887) [8 per cell]
H (0.041, 0.205, 0.395) [8 per cell]
H (0.089, 0.115, 0.559) [8 per cell]
H (0.138, 0.232, 0.114) [8 per cell]
H (0.187, 0.183, 0.680) [8 per cell]
H (0.214, 0.248, 0.772) [8 per cell]
O (0.037, 0.246, 0.138) [8 per cell]
O (0.051, 0.129, 0.619) [8 per cell]
O (0.061, 0.398, 0.551) [8 per cell]
O (0.126, 0.493, 0.352) [8 per cell]
O (0.153, 0.102, 0.446) [8 per cell]
O (0.161, 0.297, 0.882) [8 per cell]
O (0.198, 0.480, 0.165) [8 per cell]
O (0.206, 0.431, 0.003) [8 per cell]
O (0.233, 0.284, 0.279) [8 per cell]


# 2
The following is a DFT calculation (PBE) of an optimized crystal structure of NaDyRu2O8.

Calculated values
V: 13.08 Å³ per atom
ΔE_f (raw): -1.455 eV/atom
spin magnetization: 3.43 μB per formula unit
density of states at the Fermi level: 0.517 states/eV/atom

Cell lengths 5.218, 5.218, 11.528 Å; angles 90.00, 90.00, 90.00 degrees
Space group I-4 (No. 82)
Inequivalent atoms, fractional coordinates:
Na (0.000, 0.000, 0.000) [2 per cell]
Dy (0.000, 0.500, 0.250) [2 per cell]
Ru (0.000, 0.000, 0.500) [2 per cell]
Ru (0.000, 0.500, 0.750) [2 per cell]
O (0.144, 0.249, 0.413) [8 per cell]
O (0.163, 0.750, 0.829) [8 per cell]


# 3
The following is a DFT calculation (PBE) of an optimized crystal structure of LiPmZn2Ga.

Calculated values
V: 19.24 Å³ per atom
energy of formation: -342 meV/atom
spin magnetization: 0.00 μB per formula unit
density of states at the Fermi level: 0.806 states/eV/atom

Cell lengths 4.274, 4.274, 10.532 Å; angles 90.00, 90.00, 90.00 degrees
Space group I-4m2 (No. 119)
Inequivalent atoms, fractional coordinates:
Li (0.000, 0.000, 0.000) [2 per cell]
Pm (0.000, 0.500, 0.750) [2 per cell]
Zn (0.000, 0.500, 0.133) [4 per cell]
Ga (0.000, 0.000, 0.500) [2 per cell]


# 4
The following is a DFT calculation (PBE) of an optimized crystal structure of Mg2SiP.

Calculated values
V: 17.66 Å³ per atom
ΔE_f (raw): 0.005 eV/atom
spin magnetization: 0.00 μB per formula unit
energy above the lowest structure with this stoichiometry: 45 meV per atom
density of states at the Fermi level: 0.310 states/eV/atom

Cell lengths 3.816, 3.816, 9.698 Å; angles 90.00, 90.00, 90.00 degrees
Space group I-4m2 (No. 119)
Inequivalent atoms, fractional coordinates:
Mg (0.000, 0.000, 0.000) [2 per cell]
Mg (0.000, 0.500, 0.250) [2 per cell]
Si (0.000, 0.000, 0.500) [2 per cell]
P (0.000, 0.500, 0.750) [2 per cell]